Entry 1:
An optimized crystal structure of KTlIn2Ru, computed with PBE.

Calculated values
DOS(E_F) (states/eV per atom): 0.337
Electronic total energy (eV/atom): -3.710
Formation energy (meV per atom): -66

The structure in CIF format:
```
data_KTlIn2Ru
_cell_length_a 5.237
_cell_length_b 5.237
_cell_length_c 5.345
_cell_angle_alpha 90.00
_cell_angle_beta 90.00
_cell_angle_gamma 90.00
_space_group_name_H-M_alt 'P 4/m m m'
_space_group_IT_number 123
_space_group_name_Hall '-P 4 2'
loop_
_atom_site_label
_atom_site_type_symbol
_atom_site_fract_x
_atom_site_fract_y
_atom_site_fract_z
_atom_site_occupancy
K1 K 0.000 0.000 0.000 1
Tl1 Tl 0.500 0.500 0.000 1
In1 In 0.000 0.500 0.500 1
Ru1 Ru 0.500 0.500 0.500 1
```

Entry 2:
An optimized crystal structure of KZn2InRu, computed with PBE.

Calculated values
DOS(E_F) (states/eV per atom): 0.321
Electronic total energy (eV/atom): -3.098
Formation energy (meV per atom): 34

The structure in CIF format:
```
data_KZn2InRu
_cell_length_a 4.968
_cell_length_b 4.968
_cell_length_c 5.141
_cell_angle_alpha 90.00
_cell_angle_beta 90.00
_cell_angle_gamma 90.00
_space_group_name_H-M_alt 'P 4/m m m'
_space_group_IT_number 123
_space_group_name_Hall '-P 4 2'
loop_
_atom_site_label
_atom_site_type_symbol
_atom_site_fract_x
_atom_site_fract_y
_atom_site_fract_z
_atom_site_occupancy
K1 K 0.000 0.000 0.000 1
Zn1 Zn 0.000 0.500 0.500 1
In1 In 0.500 0.500 0.000 1
Ru1 Ru 0.500 0.500 0.500 1
```

Entry 3:
An optimized crystal structure of KInS, computed with PBE.

Calculated values
Excess energy over the best structure of this formula in the dataset (meV/atom): 0
DOS(E_F) (states/eV per atom): 0.248
Electronic total energy (eV/atom): -3.433
Formation energy from raw total energies (eV per atom): -0.778

The structure in CIF format:
```
data_KInS
_cell_length_a 4.010
_cell_length_b 14.990
_cell_length_c 6.162
_cell_angle_alpha 90.00
_cell_angle_beta 90.00
_cell_angle_gamma 90.00
_space_group_name_H-M_alt 'C m c m'
_space_group_IT_number 63
_space_group_name_Hall '-C 2c 2'
loop_
_atom_site_label
_atom_site_type_symbol
_atom_site_fract_x
_atom_site_fract_y
_atom_site_fract_z
_atom_site_occupancy
K1 K 0.000 0.183 0.250 1
In1 In 0.000 0.464 0.250 1
S1 S 0.000 0.150 0.750 1
```

Entry 4:
An optimized crystal structure of KInS2, computed with PBE.

Calculated values
DOS(E_F) (states/eV per atom): 0.000
Electronic total energy (eV/atom): -3.972
Formation energy from raw total energies (eV per atom): -0.949

The structure in CIF format:
```
data_KInS2
_cell_length_a 11.202
_cell_length_b 11.202
_cell_length_c 15.247
_cell_angle_alpha 90.00
_cell_angle_beta 100.61
_cell_angle_gamma 90.00
_space_group_name_H-M_alt 'C 1 2/c 1'
_space_group_IT_number 15
loop_
_space_group_symop_operation_xyz
'x,y,z'
'-x,-y,-z'
'-x,y,-z+1/2'
'x,-y,z+1/2'
'x+1/2,y+1/2,z'
'-x+1/2,-y+1/2,-z'
'-x+1/2,y+1/2,-z+1/2'
'x+1/2,-y+1/2,z+1/2'
loop_
_atom_site_label
_atom_site_type_symbol
_atom_site_fract_x
_atom_site_fract_y
_atom_site_fract_z
_atom_site_occupancy
K1 K 0.034 0.188 0.384 1
K2 K 0.217 0.438 0.118 1
In1 In 0.100 0.189 0.656 1
In2 In 0.148 0.437 0.845 1
S1 S 0.000 0.053 0.750 1
S2 S 0.000 0.429 0.250 1
S3 S 0.049 0.313 0.946 1
S4 S 0.202 0.064 0.556 1
S5 S 0.241 0.188 0.249 1
```

Entry 5:
An optimized crystal structure of KInS2, computed with PBE.

Calculated values
DOS(E_F) (states/eV per atom): 0.000
Electronic total energy (eV/atom): -3.931
Formation energy from raw total energies (eV per atom): -0.909

The structure in CIF format:
```
data_KInS2
_cell_length_a 9.162
_cell_length_b 9.567
_cell_length_c 6.715
_cell_angle_alpha 90.00
_cell_angle_beta 125.57
_cell_angle_gamma 90.00
_space_group_name_H-M_alt 'C 1 2/c 1'
_space_group_IT_number 15
loop_
_space_group_symop_operation_xyz
'x,y,z'
'-x,-y,-z'
'-x,y,-z+1/2'
'x,-y,z+1/2'
'x+1/2,y+1/2,z'
'-x+1/2,-y+1/2,-z'
'-x+1/2,y+1/2,-z+1/2'
'x+1/2,-y+1/2,z+1/2'
loop_
_atom_site_label
_atom_site_type_symbol
_atom_site_fract_x
_atom_site_fract_y
_atom_site_fract_z
_atom_site_occupancy
K1 K 0.000 0.109 0.250 1
In1 In 0.000 0.478 0.750 1
S1 S 0.189 0.374 0.168 1
```

Entry 6:
An optimized crystal structure of K6InS4, computed with PBE.

Calculated values
DOS(E_F) (states/eV per atom): 0.146
Electronic total energy (eV/atom): -3.336
Formation energy from raw total energies (eV per atom): -0.988

The structure in CIF format:
```
data_K6InS4
_cell_length_a 10.3336
_cell_length_b 10.3336
_cell_length_c 7.7144
_cell_angle_alpha 90.00
_cell_angle_beta 90.00
_cell_angle_gamma 120.00
_space_group_name_H-M_alt 'P 63 m c'
_space_group_IT_number 186
_space_group_name_Hall 'P 6c -2c'
loop_
_atom_site_label
_atom_site_type_symbol
_atom_site_fract_x
_atom_site_fract_y
_atom_site_fract_z
_atom_site_occupancy
K1 K 0.0627 0.5314 0.0000 1
K2 K 0.1363 0.2726 0.3235 1
In1 In 0.3333 0.6667 0.6109 1
S1 S 0.1979 0.3958 0.7154 1
S2 S 0.3333 0.6667 0.2789 1
```